Computed, not measured: a geometry-optimized CaCo2SiTe structure at the PBE level of DFT.

Cell: 4.6810 4.6810 5.2946 Å, 90.00 90.00 90.00°
Positions (direct):
Ca  0.0000  0.0000  0.0000
Co  0.0000  0.5000  0.0000
Co  0.5000  0.0000  0.0000
Si  0.0000  0.0000  0.5000
Te  0.5000  0.5000  0.5000

Summary:
Formation energy (no corrections), eV/atom: 1.583
V, A^3/atom: 23.20
Total DFT energy (no corrections), eV per cell: -16.9